Ge3HPb | PBE | optimized geometry

Geometry as POSCAR:
```
Ge3HPb
1.0
-3.347 1.469 -4.200
-3.656 -3.903 1.548
-2.536 3.688 3.311
Pb H Ge
1 1 3
direct
0.000 0.000 0.000
0.500 0.500 0.500
0.000 0.500 0.000
0.000 0.000 0.500
0.500 0.000 0.000
```

## Properties
Polymorph energy (0 for the lowest one) = 5.247 eV/f.u.
D(E_F) = 2.48 states/eV per cell